1.
# KLiZnO2

A relaxed KLiZnO2 crystal (PBE, OQMD via LeMat-Bulk).

Results
calculated volume = 12.53 Å³ per atom
SG = P3m1, No. 156
E = -21.6 eV/cell

Cell lengths 3.363, 3.363, 6.398 Å; angles 90.00, 90.00, 120.00 degrees
Fractional positions:
K 0.000 0.000 0.000
Li 0.333 0.667 0.339
Zn 0.667 0.333 0.592
O 0.333 0.667 0.692
O 0.667 0.333 0.285

---

2.
# K2Li14Zr3O14

A relaxed K2Li14Zr3O14 crystal (PBE, OQMD via LeMat-Bulk).

Results
calculated volume = 10.66 Å³ per atom
SG = Immm, No. 71
E = -198.9 eV/cell

Cell lengths 8.188, 8.188, 8.188 Å; angles 127.21, 123.40, 81.07 degrees
Fractional positions:
K 0.000 0.235 0.235
K 0.000 0.765 0.765
Li 0.088 0.230 0.858
Li 0.205 0.136 0.611
Li 0.205 0.594 0.068
Li 0.347 0.500 0.847
Li 0.372 0.230 0.142
Li 0.474 0.406 0.611
Li 0.474 0.864 0.068
Li 0.526 0.136 0.932
Li 0.526 0.594 0.389
Li 0.628 0.770 0.858
Li 0.653 0.500 0.153
Li 0.795 0.406 0.932
Li 0.795 0.864 0.389
Li 0.912 0.770 0.142
Zr 0.227 0.727 0.500
Zr 0.500 0.000 0.500
Zr 0.773 0.273 0.500
O 0.082 0.372 0.710
O 0.190 0.873 0.317
O 0.244 0.031 0.787
O 0.244 0.458 0.213
O 0.338 0.628 0.710
O 0.444 0.127 0.317
O 0.500 0.289 0.789
O 0.500 0.711 0.211
O 0.556 0.873 0.683
O 0.662 0.372 0.290
O 0.756 0.542 0.787
O 0.756 0.969 0.213
O 0.810 0.127 0.683
O 0.918 0.628 0.290

---

3.
# KLiPaS3

A relaxed KLiPaS3 crystal (PBE, OQMD via LeMat-Bulk).

Results
calculated volume = 24.83 Å³ per atom
SG = Cmcm, No. 63
E = -67.9 eV/cell

Cell lengths 7.191, 7.191, 10.568 Å; angles 90.00, 90.00, 146.96 degrees
Fractional positions:
K 0.238 0.762 0.750
K 0.762 0.238 0.250
Li 0.038 0.962 0.250
Li 0.962 0.038 0.750
Pa 0.500 0.500 0.000
Pa 0.500 0.500 0.500
S 0.124 0.876 0.055
S 0.124 0.876 0.445
S 0.444 0.556 0.250
S 0.556 0.444 0.750
S 0.876 0.124 0.555
S 0.876 0.124 0.945

---

4.
# KLiPaTe3

A relaxed KLiPaTe3 crystal (PBE, OQMD via LeMat-Bulk).

Results
calculated volume = 34.15 Å³ per atom
SG = Cmcm, No. 63
E = -55.7 eV/cell

Cell lengths 8.060, 8.060, 11.705 Å; angles 90.00, 90.00, 147.39 degrees
Fractional positions:
K 0.248 0.752 0.750
K 0.752 0.248 0.250
Li 0.033 0.967 0.250
Li 0.967 0.033 0.750
Pa 0.500 0.500 0.000
Pa 0.500 0.500 0.500
Te 0.131 0.869 0.054
Te 0.131 0.869 0.446
Te 0.432 0.568 0.250
Te 0.568 0.432 0.750
Te 0.869 0.131 0.554
Te 0.869 0.131 0.946

---

5.
# KLiPdS3

A relaxed KLiPdS3 crystal (PBE, OQMD via LeMat-Bulk).

Results
calculated volume = 20.35 Å³ per atom
SG = Cmcm, No. 63
E = -49.0 eV/cell

Cell lengths 7.114, 7.114, 9.378 Å; angles 90.00, 90.00, 149.04 degrees
Fractional positions:
K 0.247 0.753 0.750
K 0.753 0.247 0.250
Li 0.476 0.524 0.250
Li 0.524 0.476 0.750
Pd 0.000 0.000 0.000
Pd 0.000 0.000 0.500
S 0.069 0.931 0.250
S 0.389 0.611 0.034
S 0.389 0.611 0.466
S 0.611 0.389 0.534
S 0.611 0.389 0.966
S 0.931 0.069 0.750

---

6.
# KLiPdSe3

A relaxed KLiPdSe3 crystal (PBE, OQMD via LeMat-Bulk).

Results
calculated volume = 23.16 Å³ per atom
SG = Cmcm, No. 63
E = -45.4 eV/cell

Cell lengths 7.359, 7.359, 9.920 Å; angles 90.00, 90.00, 148.84 degrees
Fractional positions:
K 0.243 0.757 0.750
K 0.757 0.243 0.250
Li 0.474 0.526 0.250
Li 0.526 0.474 0.750
Pd 0.000 0.000 0.000
Pd 0.000 0.000 0.500
Se 0.072 0.928 0.250
Se 0.386 0.614 0.028
Se 0.386 0.614 0.472
Se 0.614 0.386 0.528
Se 0.614 0.386 0.972
Se 0.928 0.072 0.750